Material: MgBeW2
Method: DFT, GGA-PBE
State: relaxed

E_tot = -29.398 eV/cell
DOS(E_F) = 0.318 states/eV/atom
ΔE_f = 0.457 eV per atom
Theoretical density = 11.0 g cm⁻³
Size of the total moment = 0.00 μB/atom
SG = C2/m, No. 12

a b c (Å): 5.1073 5.1073 2.6710
angles (deg): 83.69 83.69 117.47
Fractional positions:
Be: 0.5000 0.0000 0.5000
Mg: 0.0000 0.5000 0.5000
W: 0.0000 0.0000 0.0000
W: 0.5000 0.5000 0.0000


Material: BaGe2Ir
Method: DFT, GGA-PBE
State: relaxed

E_tot = -22.100 eV/cell
DOS(E_F) = 0.614 states/eV/atom
ΔE_f = -0.520 eV per atom
Theoretical density = 8.4 g cm⁻³
Size of the total moment = 0.00 μB/atom
SG = R-3m, No. 166

a b c (Å): 4.2570 4.2570 6.4840
angles (deg): 70.84 70.84 60.00
Fractional positions:
Ge: 0.7907 0.7907 0.6280
Ge: 0.2093 0.2093 0.3720
Ir: 0.5000 0.5000 0.5000
Ba: 0.0000 0.0000 0.0000


Material: Ho2B10Ir
Method: DFT, GGA-PBE
State: relaxed

E_tot = -183.154 eV/cell
DOS(E_F) = 0.133 states/eV/atom
ΔE_f = -0.522 eV per atom
Theoretical density = 7.8 g cm⁻³
Size of the total moment = 0.00 μB/atom
SG = Pbam, No. 55

a b c (Å): 4.1664 5.6839 11.3133
angles (deg): 90.00 90.00 90.00
Fractional positions:
Ho: 0.5000 0.2956 0.8659
Ho: 0.5000 0.7044 0.1341
Ho: 0.5000 0.7956 0.6341
Ho: 0.5000 0.2044 0.3659
B: 0.0000 0.1185 0.5424
B: 0.0000 0.8815 0.4576
B: 0.0000 0.6185 0.9576
B: 0.0000 0.3815 0.0424
B: 0.0000 0.1359 0.6972
B: 0.0000 0.8641 0.3028
B: 0.3016 0.2208 0.1194
B: 0.3016 0.7792 0.8806
B: 0.6984 0.7208 0.3806
B: 0.6984 0.2792 0.6194
B: 0.6984 0.7792 0.8806
B: 0.6984 0.2208 0.1194
B: 0.3016 0.2792 0.6194
B: 0.3016 0.7208 0.3806
B: 0.0000 0.0564 0.1935
B: 0.0000 0.9436 0.8065
B: 0.0000 0.5564 0.3065
B: 0.0000 0.4436 0.6935
B: 0.0000 0.3641 0.1972
B: 0.0000 0.6359 0.8028
Ir: 0.0000 0.5000 0.5000
Ir: 0.0000 0.0000 0.0000


Material: Rb3YTl
Method: DFT, GGA-PBE
State: relaxed

E_tot = -8.377 eV/cell
DOS(E_F) = 1.969 states/eV/atom
ΔE_f = 0.671 eV per atom
Theoretical density = 2.7 g cm⁻³
Size of the total moment = 0.10 μB/atom
SG = Pm-3m, No. 221

a b c (Å): 6.9444 6.9444 6.9444
angles (deg): 90.00 90.00 90.00
Each line ends with the local moment (μB).
Fractional positions:
Y: 0.5000 0.5000 0.5000  0.38
Tl: 0.0000 0.0000 0.0000  -0.07
Rb: 0.0000 0.5000 0.0000  -0.01
Rb: 0.0000 0.0000 0.5000  0.00
Rb: 0.5000 0.0000 0.0000  -0.01


Material: MoIrSe4
Method: DFT, GGA-PBE
State: relaxed

E_tot = -36.130 eV/cell
ΔE_f (raw) = -0.42 eV/atom
DOS(E_F) = 0.262 states/eV/atom
Theoretical density = 7.1 g cm⁻³
Size of the total moment = 0.00 μB/atom
SG = Cm, No. 8

a b c (Å): 3.5134 7.0571 5.9622
angles (deg): 100.87 90.00 104.39
Fractional positions:
Mo: 0.4978 0.9957 0.5552
Ir: 0.0016 0.0032 0.9582
Se: 0.8685 0.7366 0.6061
Se: 0.0986 0.1975 0.3693
Se: 0.4048 0.8093 0.1166
Se: 0.6286 0.2576 0.8946


Material: Be3Co
Method: DFT, GGA-PBE
State: relaxed

E_tot = -18.420 eV/cell
DOS(E_F) = 0.310 states/eV/atom
ΔE_f = -0.034 eV per atom
Theoretical density = 4.1 g cm⁻³
Size of the total moment = 0.00 μB/atom
SG = P-6m2, No. 187

a b c (Å): 2.3863 2.3863 7.1259
angles (deg): 90.00 90.00 120.00
Fractional positions:
Be: 0.0000 0.0000 0.9979
Be: 0.0000 0.0000 0.5021
Be: 0.6667 0.3333 0.2500
Co: 0.6667 0.3333 0.7500


- The lowest theoretical density belongs to which entry?
  Rb3YTl